Cs12In5Au3 after structural relaxation. Source: Alexandria, functional PBE.

a = 19.3849 Å, b = 19.3849 Å, c = 19.3849 Å
α = 109.47°, β = 109.47°, γ = 109.47°
With the nearest neighbours (Å) after each atom.
Atoms (fractional coordinates):
Cs 0.0601 0.2334 0.1265  2 In 3.70-3.88, 1 Au 3.81
Cs 0.0601 0.3267 0.9336  2 In 3.70-3.88, 1 Au 3.81
Cs 0.0664 0.6265 0.3932  2 In 3.70-3.88, 1 Au 3.81
Cs 0.0664 0.9399 0.6733  2 In 3.70-3.88, 1 Au 3.81
Cs 0.1068 0.7334 0.6733  2 In 3.70-3.88, 1 Au 3.81
Cs 0.1068 0.8735 0.4336  2 In 3.70-3.88, 1 Au 3.81
Cs 0.1265 0.0601 0.2334  2 In 3.70-3.88, 1 Au 3.81
Cs 0.1265 0.5664 0.8932  2 In 3.70-3.88, 1 Au 3.81
Cs 0.1733 0.2334 0.6068  2 In 3.70-3.88, 1 Au 3.81
Cs 0.1733 0.4399 0.5664  2 In 3.70-3.88, 1 Au 3.81
Cs 0.2334 0.1265 0.0601  2 In 3.70-3.88, 1 Au 3.81
Cs 0.2334 0.6068 0.1733  2 In 3.70-3.88, 1 Au 3.81
Cs 0.2666 0.3267 0.8932  2 In 3.70-3.88, 1 Au 3.81
Cs 0.2666 0.4399 0.3735  2 In 3.70-3.88, 1 Au 3.81
Cs 0.3267 0.8932 0.2666  2 In 3.70-3.88, 1 Au 3.81
Cs 0.3267 0.9336 0.0601  2 In 3.70-3.88, 1 Au 3.81
Cs 0.3735 0.2666 0.4399  2 In 3.70-3.88, 1 Au 3.81
Cs 0.3735 0.6068 0.9336  2 In 3.70-3.88, 1 Au 3.81
Cs 0.3932 0.0664 0.6265  2 In 3.70-3.88, 1 Au 3.81
Cs 0.3932 0.8267 0.7666  2 In 3.70-3.88, 1 Au 3.81
Cs 0.4336 0.1068 0.8735  2 In 3.70-3.88, 1 Au 3.81
Cs 0.4336 0.8267 0.5601  2 In 3.70-3.88, 1 Au 3.81
Cs 0.4399 0.3735 0.2666  2 In 3.70-3.88, 1 Au 3.81
Cs 0.4399 0.5664 0.1733  2 In 3.70-3.88, 1 Au 3.81
Cs 0.5601 0.4336 0.8267  2 In 3.70-3.88, 1 Au 3.81
Cs 0.5601 0.6265 0.7334  2 In 3.70-3.88, 1 Au 3.81
Cs 0.5664 0.1733 0.4399  2 In 3.70-3.88, 1 Au 3.81
Cs 0.5664 0.8932 0.1265  2 In 3.70-3.88, 1 Au 3.81
Cs 0.6068 0.1733 0.2334  2 In 3.70-3.88, 1 Au 3.81
Cs 0.6068 0.9336 0.3735  2 In 3.70-3.88, 1 Au 3.81
Cs 0.6265 0.3932 0.0664  2 In 3.70-3.88, 1 Au 3.81
Cs 0.6265 0.7334 0.5601  2 In 3.70-3.88, 1 Au 3.81
Cs 0.6733 0.0664 0.9399  2 In 3.70-3.88, 1 Au 3.81
Cs 0.6733 0.1068 0.7334  2 In 3.70-3.88, 1 Au 3.81
Cs 0.7334 0.5601 0.6265  2 In 3.70-3.88, 1 Au 3.81
Cs 0.7334 0.6733 0.1068  2 In 3.70-3.88, 1 Au 3.81
Cs 0.7666 0.3932 0.8267  2 In 3.70-3.88, 1 Au 3.81
Cs 0.7666 0.8735 0.9399  2 In 3.70-3.88, 1 Au 3.81
Cs 0.8267 0.5601 0.4336  2 In 3.70-3.88, 1 Au 3.81
Cs 0.8267 0.7666 0.3932  2 In 3.70-3.88, 1 Au 3.81
Cs 0.8735 0.4336 0.1068  2 In 3.70-3.88, 1 Au 3.81
Cs 0.8735 0.9399 0.7666  2 In 3.70-3.88, 1 Au 3.81
Cs 0.8932 0.1265 0.5664  2 In 3.70-3.88, 1 Au 3.81
Cs 0.8932 0.2666 0.3267  2 In 3.70-3.88, 1 Au 3.81
Cs 0.9336 0.0601 0.3267  2 In 3.70-3.88, 1 Au 3.81
Cs 0.9336 0.3735 0.6068  2 In 3.70-3.88, 1 Au 3.81
Cs 0.9399 0.6733 0.0664  2 In 3.70-3.88, 1 Au 3.81
Cs 0.9399 0.7666 0.8735  2 In 3.70-3.88, 1 Au 3.81
In 0.0000 0.0000 0.0000  6 Cs 3.88
In 0.0000 0.0000 0.5000  6 Cs 3.88
In 0.0000 0.5000 0.0000  6 Cs 3.88
In 0.0000 0.5000 0.5000  6 Cs 3.88
In 0.1250 0.7500 0.8750  4 Cs 3.70
In 0.1250 0.8750 0.2500  4 Cs 3.70
In 0.2500 0.1250 0.8750  4 Cs 3.70
In 0.2500 0.6250 0.3750  4 Cs 3.70
In 0.3750 0.2500 0.6250  4 Cs 3.70
In 0.3750 0.6250 0.7500  4 Cs 3.70
In 0.5000 0.0000 0.0000  6 Cs 3.88
In 0.5000 0.0000 0.5000  6 Cs 3.88
In 0.5000 0.5000 0.0000  6 Cs 3.88
In 0.5000 0.5000 0.5000  6 Cs 3.88
In 0.6250 0.3750 0.2500  4 Cs 3.70
In 0.6250 0.7500 0.3750  4 Cs 3.70
In 0.7500 0.3750 0.6250  4 Cs 3.70
In 0.7500 0.8750 0.1250  4 Cs 3.70
In 0.8750 0.1250 0.7500  4 Cs 3.70
In 0.8750 0.2500 0.1250  4 Cs 3.70
Au 0.1250 0.2500 0.3750  4 Cs 3.81
Au 0.1250 0.3750 0.7500  4 Cs 3.81
Au 0.2500 0.3750 0.1250  4 Cs 3.81
Au 0.2500 0.8750 0.6250  4 Cs 3.81
Au 0.3750 0.1250 0.2500  4 Cs 3.81
Au 0.3750 0.7500 0.1250  4 Cs 3.81
Au 0.6250 0.2500 0.8750  4 Cs 3.81
Au 0.6250 0.8750 0.7500  4 Cs 3.81
Au 0.7500 0.1250 0.3750  4 Cs 3.81
Au 0.7500 0.6250 0.8750  4 Cs 3.81
Au 0.8750 0.6250 0.2500  4 Cs 3.81
Au 0.8750 0.7500 0.6250  4 Cs 3.81

Values from the calculation:
Energy relative to the elements   13.4 kJ/mol of atoms
Density   3.27 g/cm³
DOS(E_F)   61.29 states/eV per cell